NiHg3 | PBE | optimized geometry

a = 2.9483 Å, b = 4.5073 Å, c = 12.9786 Å
α = 90.00°, β = 90.00°, γ = 90.00°
With the nearest neighbours (Å) after each atom.
Space group Immm (No. 71)
Symmetry-distinct sites (fractional):
Ni 0.0000 0.0000 0.0000 [2 per cell]  8 Hg 2.69-2.76, 2 Ni 2.95
Hg 0.0000 0.0000 0.5000 [2 per cell]  4 Ni 2.69, 2 Hg 2.95
Hg 0.0000 0.5000 0.3205 [4 per cell]  2 Ni 2.76, 2 Hg 2.95

energy relative to the elements: 0.128 eV/atom
total DFT energy (no corrections): -1.5437 eV/atom